Material: Cu2Pd2Ru
Method: DFT, PBE
State: relaxed

Unit cell a=7.093 b=7.093 c=2.825 alpha=90.00 beta=90.00 gamma=90.00
Element x y z (fractional)
Cu: 0.122 0.378 0.000
Cu: 0.378 0.878 0.000
Cu: 0.622 0.122 0.000
Cu: 0.878 0.622 0.000
Pd: 0.176 0.676 0.500
Pd: 0.324 0.176 0.500
Pd: 0.676 0.824 0.500
Pd: 0.824 0.324 0.500
Ru: 0.000 0.000 0.000
Ru: 0.500 0.500 0.000

Results
**Fermi-level density of states**: 11.09 states/eV/cell
**Total energy**: -5.306 eV per atom
**Calculated volume**: 142.12 Å³/cell
**Energy of formation**: 0.2649 eV/atom

---

Material: KCd2Tc
Method: DFT, PBE
State: relaxed

Unit cell a=2.906 b=4.175 c=7.970 alpha=90.00 beta=90.23 gamma=90.00
Element x y z (fractional)
K: 0.000 0.000 0.000
Cd: 0.498 0.500 0.319
Cd: 0.502 0.500 0.681
Tc: 0.000 0.000 0.500

Results
**Fermi-level density of states**: 3.36 states/eV/cell
**Total energy**: -2.823 eV per atom
**Calculated volume**: 96.71 Å³/cell
**Energy of formation**: 0.5007 eV/atom

---

Material: OsBr2Cl2F4
Method: DFT, PBE
State: relaxed

Unit cell a=6.276 b=6.276 c=6.579 alpha=92.48 beta=92.48 gamma=49.93
Element x y z (fractional)
Os: 0.000 0.000 0.000
Br: 0.351 0.351 0.320
Br: 0.649 0.649 0.680
Cl: 0.124 0.124 0.731
Cl: 0.876 0.876 0.269
F: 0.151 0.658 0.867
F: 0.342 0.849 0.133
F: 0.658 0.151 0.867
F: 0.849 0.342 0.133

Results
**Formation energy (no corrections)**: -0.84 eV/atom
**Fermi-level density of states**: 4.22 states/eV/cell
**Total energy**: -3.704 eV per atom
**Calculated volume**: 198.05 Å³/cell

---

Material: Pm2AlP
Method: DFT, PBE
State: relaxed

Unit cell a=8.025 b=8.025 c=8.025 alpha=29.08 beta=29.08 gamma=29.08
Element x y z (fractional)
Pm: 0.239 0.239 0.239
Pm: 0.761 0.761 0.761
Al: 0.000 0.000 0.000
P: 0.500 0.500 0.500

Results
**Fermi-level density of states**: 1.65 states/eV/cell
**Total energy**: -5.496 eV per atom
**Calculated volume**: 107.98 Å³/cell
**Energy of formation**: -0.8325 eV/atom

---

Material: MgTc2Ni
Method: DFT, PBE
State: relaxed

Unit cell a=4.625 b=4.625 c=4.887 alpha=98.05 beta=98.05 gamma=33.85
Element x y z (fractional)
Mg: 0.000 0.000 0.000
Tc: 0.527 0.527 0.509
Tc: 0.764 0.764 0.317
Ni: 0.251 0.251 0.811

Results
**Fermi-level density of states**: 4.02 states/eV/cell
**Total energy**: -6.888 eV per atom
**Calculated volume**: 57.61 Å³/cell
**Energy of formation**: 0.1390 eV/atom

---

Material: SrTiVRe2
Method: DFT, PBE
State: relaxed

Unit cell a=4.679 b=4.679 c=4.717 alpha=90.00 beta=90.00 gamma=90.00
Element x y z (fractional)
Sr: 0.000 0.000 0.000
Ti: 0.500 0.500 0.000
V: 0.500 0.500 0.500
Re: 0.000 0.500 0.500
Re: 0.500 0.000 0.500

Results
**Fermi-level density of states**: 6.39 states/eV/cell
**Total energy**: -7.702 eV per atom
**Calculated volume**: 103.27 Å³/cell
**Energy of formation**: 1.0163 eV/atom

---

Material: Ce5Sb2C
Method: DFT, PBE
State: relaxed

Unit cell a=5.572 b=5.572 c=15.615 alpha=90.00 beta=90.00 gamma=121.07
Element x y z (fractional)
Ce: 0.082 0.918 0.631
Ce: 0.082 0.918 0.869
Ce: 0.250 0.750 0.250
Ce: 0.417 0.583 0.631
Ce: 0.417 0.583 0.869
Ce: 0.583 0.417 0.131
Ce: 0.583 0.417 0.369
Ce: 0.750 0.250 0.750
Ce: 0.918 0.082 0.131
Ce: 0.918 0.082 0.369
Sb: 0.250 0.750 0.056
Sb: 0.250 0.750 0.444
Sb: 0.750 0.250 0.556
Sb: 0.750 0.250 0.944
C: 0.250 0.750 0.750
C: 0.750 0.250 0.250

Results
**Formation energy (no corrections)**: -0.40 eV/atom
**Fermi-level density of states**: 40.48 states/eV/cell
**Total energy**: -6.291 eV per atom
**Calculated volume**: 415.22 Å³/cell

---

Material: GdAgO2
Method: DFT, PBE
State: relaxed

Unit cell a=6.604 b=6.604 c=6.604 alpha=31.73 beta=31.73 gamma=31.73
Element x y z (fractional)
Gd: 0.000 0.000 0.000
Ag: 0.500 0.500 0.500
O: 0.389 0.389 0.389
O: 0.611 0.611 0.611

Results
**Formation energy (no corrections)**: -2.21 eV/atom
**Fermi-level density of states**: 0.00 states/eV/cell
**Total energy**: -8.923 eV per atom
**Calculated volume**: 70.78 Å³/cell